# 1
## TlCdAu2 (PBE)

Data for an optimized crystal structure of TlCdAu2.

The space group is F-43m (No. 216) and the conventional cell measures 7.000, 7.000 and 7.000 Å, with angles of 90.00, 90.00 and 90.00 degrees. Symmetry generates all atoms from Tl at (0.000, 0.000, 0.000), Cd at (0.250, 0.250, 0.750), Au at (0.000, 0.000, 0.500) and Au at (0.250, 0.250, 0.250).

Its mass density is 13765 kg/m³. The formation energy comes out at 21 kJ/mol of formula units.



# 2
## TlCd7Au5 (PBE)

Data for an optimized crystal structure of TlCd7Au5.

The space group is Imm2 (No. 44) and the conventional cell measures 5.685, 9.978 and 9.888 Å, with angles of 90.00, 90.00 and 90.00 degrees. Symmetry generates all atoms from Tl at (0.000, 0.000, 0.000), Cd at (0.000, 0.000, 0.336), Cd at (0.000, 0.000, 0.643), Cd at (0.000, 0.307, 0.508), Cd at (0.000, 0.344, 0.999), Cd at (0.000, 0.500, 0.273), Au at (0.000, 0.500, 0.736) and Au at (0.250, 0.246, 0.754).

Its mass density is 11700 kg/m³. The formation energy comes out at -153 kJ/mol of formula units.



# 3
## Tl2CdAu (PBE)

Data for an optimized crystal structure of Tl2CdAu.

The space group is Immm (No. 71) and the conventional cell measures 3.362, 4.667 and 13.859 Å, with angles of 90.00, 90.00 and 90.00 degrees. Symmetry generates all atoms from Tl at (0.000, 0.000, 0.186), Cd at (0.000, 0.500, 0.000) and Au at (0.000, 0.500, 0.500).

For the distance to the lowest polymorph of the same formula, the calculation gives 3 meV per atom. Its mass density is 10969 kg/m³. The formation energy comes out at -6 kJ/mol of formula units.



# 4
## Tl2Cd12Au7 (PBE)

Data for an optimized crystal structure of Tl2Cd12Au7.

The space group is P-6 (No. 174) and the conventional cell measures 12.1030, 12.1030 and 3.6966 Å, with angles of 90.00, 90.00 and 120.00 degrees. Symmetry generates all atoms from Tl at (0.0000, 0.0000, 0.0000), Tl at (0.3333, 0.6667, 0.5000), Cd at (0.0497, 0.2713, 0.5000), Cd at (0.1186, 0.7178, 0.0000), Cd at (0.4023, 0.1667, 0.0000), Cd at (0.5195, 0.4138, 0.5000), Au at (0.0813, 0.4712, 0.0000), Au at (0.2402, 0.1985, 0.5000) and Au at (0.6667, 0.3333, 0.0000).

Its mass density is 11106 kg/m³. The formation energy comes out at -248 kJ/mol of formula units.



# 5
## Tl2CdAu (PBE)

Data for an optimized crystal structure of Tl2CdAu.

The space group is I4/mmm (No. 139) and the conventional cell measures 4.663, 4.663 and 9.399 Å, with angles of 90.00, 90.00 and 90.00 degrees. Symmetry generates all atoms from Tl at (0.000, 0.500, 0.250), Cd at (0.000, 0.000, 0.000) and Au at (0.000, 0.000, 0.500).

For the distance to the lowest polymorph of the same formula, the calculation gives 65 meV per atom. Its mass density is 11672 kg/m³. The formation energy comes out at 18 kJ/mol of formula units.



# 6
## TlCdAu2 (PBE)

Data for an optimized crystal structure of TlCdAu2.

The space group is R3m (No. 160, hexagonal axes) and the conventional cell measures 3.3758, 3.3758 and 27.0981 Å, with angles of 90.00, 90.00 and 120.00 degrees. Symmetry generates all atoms from Tl at (0.0000, 0.0000, 0.0000), Cd at (0.0000, 0.0000, 0.2377), Au at (0.0000, 0.0000, 0.4936) and Au at (0.0000, 0.0000, 0.7507).

Its mass density is 13239 kg/m³. The formation energy comes out at 19 kJ/mol of formula units.



# 7
## Tl2CdAu (PBE)

Data for an optimized crystal structure of Tl2CdAu.

The space group is P2/m (No. 10) and the conventional cell measures 4.185, 4.020 and 6.316 Å, with angles of 90.00, 97.69 and 90.00 degrees. Symmetry generates all atoms from Tl at (0.054, 0.000, 0.261), Cd at (0.500, 0.500, 0.000) and Au at (0.500, 0.500, 0.500).

For the distance to the lowest polymorph of the same formula, the calculation gives 55 meV per atom. Its mass density is 11325 kg/m³. The formation energy comes out at 14 kJ/mol of formula units.



# 8
## TlCd11Au (PBE)

Data for an optimized crystal structure of TlCd11Au.

The space group is C2/m (No. 12) and the conventional cell measures 6.018, 14.189 and 7.706 Å, with angles of 90.00, 111.68 and 90.00 degrees. Symmetry generates all atoms from Tl at (0.000, 0.000, 0.000), Cd at (0.000, 0.000, 0.500), Cd at (0.101, 0.393, 0.218), Cd at (0.184, 0.173, 0.354), Cd at (0.250, 0.250, 0.000) and Au at (0.000, 0.500, 0.500).

Its mass density is 8895 kg/m³. The formation energy comes out at -13 kJ/mol of formula units.



# 9
## TlCd4Au2 (PBE)

Data for an optimized crystal structure of TlCd4Au2.

The space group is Pnma (No. 62) and the conventional cell measures 19.107, 4.459 and 7.787 Å, with angles of 90.00, 90.00 and 90.00 degrees. Symmetry generates all atoms from Tl at (0.141, 0.250, 0.048), Cd at (0.036, 0.750, 0.864), Cd at (0.071, 0.250, 0.502), Cd at (0.184, 0.750, 0.756), Cd at (0.187, 0.750, 0.341), Au at (0.042, 0.750, 0.261) and Au at (0.222, 0.250, 0.550).

Its mass density is 10493 kg/m³. The formation energy comes out at -66 kJ/mol of formula units.



# 10
## TlCd4Au (PBE)

Data for an optimized crystal structure of TlCd4Au.

The space group is F-43m (No. 216) and the conventional cell measures 8.259, 8.259 and 8.259 Å, with angles of 90.00, 90.00 and 90.00 degrees. Symmetry generates all atoms from Tl at (0.000, 0.000, 0.000), Cd at (0.124, 0.124, 0.376) and Au at (0.250, 0.250, 0.750).

Its mass density is 10032 kg/m³. The formation energy comes out at 48 kJ/mol of formula units.



# 11
## TlCdAu2 (PBE)

Data for an optimized crystal structure of TlCdAu2.

The space group is Imm2 (No. 44) and the conventional cell measures 3.037, 5.199 and 11.200 Å, with angles of 90.00, 90.00 and 90.00 degrees. Symmetry generates all atoms from Tl at (0.000, 0.000, 0.000), Cd at (0.000, 0.500, 0.210), Au at (0.000, 0.000, 0.478) and Au at (0.000, 0.500, 0.756).

Its mass density is 13347 kg/m³. The formation energy comes out at -3 kJ/mol of formula units.



# 12
## TlCdAu2 (PBE)

Data for an optimized crystal structure of TlCdAu2.

The space group is R-3m (No. 166, hexagonal axes) and the conventional cell measures 3.4983, 3.4983 and 25.6351 Å, with angles of 90.00, 90.00 and 120.00 degrees. Symmetry generates all atoms from Tl at (0.0000, 0.0000, 0.0000), Cd at (0.0000, 0.0000, 0.5000) and Au at (0.0000, 0.0000, 0.2460).

Its mass density is 13031 kg/m³. The formation energy comes out at 2 kJ/mol of formula units.